Here is a geometry-optimized Hf3ScTe2C2 structure from OQMD via LeMat-Bulk. Energies are from GGA-PBE.

Output
VASP energy   -67.78 eV for the cell shown

Cell lengths 3.5187, 3.5187, 13.2302 Å; angles 90.00, 90.00, 120.00 degrees
Sites, in units of the cell vectors:
Hf 0.6667 0.3333 0.5879
Hf 0.3333 0.6667 0.4124
Hf 0.3333 0.6667 0.0875
C 0.0000 0.0000 0.5003
C 0.0000 0.0000 0.0038
Te 0.6667 0.3333 0.2506
Te 0.3333 0.6667 0.7471
Sc 0.6667 0.3333 0.9105